1.
Density functional theory data (PBE) for a relaxed structure of Li2CaAgCl6.

Computed properties:
- N(E_F) (states/eV per atom) = 0.119
- ΔE_f (raw) (meV per atom) = -1500
- energy (eV/atom) = -3.476
- V (A^3/atom) = 25.125

Unit cell a=6.823 b=8.692 c=8.692 alpha=84.75 beta=81.32 gamma=81.32
Site moments in Bohr magnetons follow the coordinates.
Positions (direct):
Li (0.201, 0.765, 0.615)  0.00
Li (0.299, 0.385, 0.235)  0.00
Li (0.799, 0.235, 0.385)  0.00
Li (0.701, 0.615, 0.765)  0.00
Ca (0.250, 0.901, 0.099)  0.00
Ca (0.750, 0.099, 0.901)  0.00
Ag (0.250, 0.299, 0.701)  0.36
Ag (0.750, 0.701, 0.299)  0.36
Cl (0.131, 0.960, 0.805)  0.02
Cl (0.369, 0.195, 0.040)  0.02
Cl (0.869, 0.040, 0.195)  0.02
Cl (0.631, 0.805, 0.960)  0.02
Cl (0.412, 0.839, 0.378)  0.13
Cl (0.088, 0.622, 0.161)  0.13
Cl (0.588, 0.161, 0.622)  0.13
Cl (0.912, 0.378, 0.839)  0.13
Cl (0.876, 0.750, 0.552)  0.11
Cl (0.624, 0.448, 0.250)  0.11
Cl (0.124, 0.250, 0.448)  0.11
Cl (0.376, 0.552, 0.750)  0.11


2.
Density functional theory data (PBE) for a relaxed structure of LiCa2AgCl6.

Computed properties:
- N(E_F) (states/eV per atom) = 0.000
- ΔE_f (raw) (meV per atom) = -1872
- energy (eV/atom) = -3.856
- V (A^3/atom) = 25.239

Unit cell a=6.839 b=6.841 c=7.382 alpha=62.31 beta=62.37 gamma=59.96
Positions (direct):
Li (0.318, 0.318, 0.047)
Ca (0.516, 0.516, 0.453)
Ca (0.011, 0.010, 0.969)
Ag (0.811, 0.812, 0.566)
Cl (0.592, 0.231, 0.241)
Cl (0.232, 0.936, 0.240)
Cl (0.936, 0.591, 0.240)
Cl (0.413, 0.718, 0.753)
Cl (0.718, 0.117, 0.754)
Cl (0.116, 0.413, 0.753)


3.
Density functional theory data (PBE) for a relaxed structure of LiCaAgCl4.

Computed properties:
- N(E_F) (states/eV per atom) = 0.000
- ΔE_f (raw) (meV per atom) = -1665
- energy (eV/atom) = -3.687
- V (A^3/atom) = 24.844

Unit cell a=8.180 b=7.877 c=7.701 alpha=119.26 beta=90.00 gamma=121.28
Positions (direct):
Li (0.500, 0.000, 0.500)
Li (0.500, 0.000, 0.000)
Ca (0.500, 0.500, 0.500)
Ca (0.000, 0.500, 0.500)
Ag (0.907, 0.813, 0.157)
Ag (0.093, 0.187, 0.843)
Cl (0.743, 0.486, 0.732)
Cl (0.288, 0.008, 0.254)
Cl (0.720, 0.008, 0.254)
Cl (0.743, 0.486, 0.254)
Cl (0.257, 0.514, 0.746)
Cl (0.712, 0.992, 0.746)
Cl (0.280, 0.992, 0.746)
Cl (0.257, 0.514, 0.268)


4.
Density functional theory data (PBE) for a relaxed structure of LiCaAg2Cl6.

Computed properties:
- N(E_F) (states/eV per atom) = 0.543
- ΔE_f (raw) (meV per atom) = -1252
- energy (eV/atom) = -3.322
- V (A^3/atom) = 23.977

Unit cell a=6.693 b=6.687 c=7.303 alpha=62.56 beta=62.59 gamma=60.03
Positions (direct):
Li (0.321, 0.319, 0.041)
Ca (0.820, 0.821, 0.538)
Ag (0.511, 0.511, 0.468)
Ag (0.009, 0.009, 0.974)
Cl (0.602, 0.236, 0.244)
Cl (0.236, 0.918, 0.244)
Cl (0.917, 0.603, 0.244)
Cl (0.402, 0.726, 0.755)
Cl (0.727, 0.117, 0.754)
Cl (0.117, 0.402, 0.753)


Question: Which formula does entry 1 have?
Answer: Li2CaAgCl6